No. 1
An optimized crystal structure of K3NaH. Source: the Alexandria database, functional GGA-PBEsol.

abc: 5.8676 5.8676 5.8676
angles: 90.00 90.00 90.00
With the nearest neighbours (Å) after each atom.
Sites, in units of the cell vectors:
K1 0.5000 0.0000 0.0000  2 H 2.93
K2 0.0000 0.0000 0.5000  2 H 2.93
Na1 0.5000 0.5000 0.5000  12 K 4.15
K3 0.0000 0.5000 0.0000  2 H 2.93
H1 0.0000 0.0000 0.0000  6 K 2.93

Results
For the energy, the calculation gives -1.621 eV per atom. For the volume, the calculation gives 40.40 Å³/atom.

No. 2
An optimized crystal structure of KNaH2. Source: the Alexandria database, functional GGA-PBEsol.

abc: 3.6954 3.6954 5.2070
angles: 90.00 90.00 90.00
With the nearest neighbours (Å) after each atom.
Sites, in units of the cell vectors:
K1 0.5000 0.5000 0.0000  6 H 2.60-2.61
H1 0.5000 0.5000 0.5000  2 K 2.60, 4 Na 2.61
H2 0.0000 0.0000 0.0000  2 Na 2.60, 4 K 2.61
Na1 0.0000 0.0000 0.5000  6 H 2.60-2.61

Results
For the energy, the calculation gives -2.426 eV per atom. For the volume, the calculation gives 17.78 Å³/atom.

No. 3
An optimized crystal structure of KNa3H4. Source: the Alexandria database, functional GGA-PBEsol.

abc: 5.0164 5.0164 5.0164
angles: 90.00 90.00 90.00
With the nearest neighbours (Å) after each atom.
Sites, in units of the cell vectors:
K1 0.5000 0.5000 0.5000  6 H 2.51
Na1 0.5000 0.0000 0.0000  6 H 2.51
H1 0.5000 0.0000 0.5000  2 K 2.51, 4 Na 2.51
H2 0.0000 0.5000 0.5000  4 Na 2.51, 2 K 2.51
H3 0.5000 0.5000 0.0000  2 K 2.51, 4 Na 2.51
H4 0.0000 0.0000 0.0000  6 Na 2.51
Na2 0.0000 0.0000 0.5000  6 H 2.51
Na3 0.0000 0.5000 0.0000  6 H 2.51

Results
For the energy, the calculation gives -2.464 eV per atom. For the volume, the calculation gives 15.78 Å³/atom.

No. 4
An optimized crystal structure of KNaH2. Source: the Alexandria database, functional GGA-PBEsol.

abc: 5.8697 5.8697 5.8697
angles: 98.87 115.02 115.02
With the nearest neighbours (Å) after each atom.
Sites, in units of the cell vectors:
K1 0.0000 0.0000 0.0000  4 H 2.65
H1 0.5511 0.3750 0.4261  2 Na 2.23
K2 0.5000 0.7500 0.2500  4 H 2.65
H2 0.0511 0.1761 0.6250  2 Na 2.23
Na1 0.0000 0.5000 0.5000  4 H 2.23
H3 0.4489 0.8750 0.8239  2 Na 2.23
H4 0.9489 0.5739 0.1250  2 Na 2.23
Na2 0.5000 0.2500 0.7500  4 H 2.23

Results
For the energy, the calculation gives -2.420 eV per atom. For the volume, the calculation gives 18.97 Å³/atom.

No. 5
An optimized crystal structure of KNaTiSi3H2O10. Source: the Alexandria database, functional GGA-PBEsol.

abc: 6.3872 11.2086 12.7738
angles: 90.00 104.44 90.00
With the nearest neighbours (Å) after each atom.
Sites, in units of the cell vectors:
O1 0.8959 0.7302 0.7013  1 Si 1.61
K1 0.7937 0.3839 0.1184  7 O 2.79-3.12
O2 0.4285 0.2374 0.9672  2 Si 1.65-1.66
O3 0.4882 0.5631 0.1141  2 Si 1.64-1.65
O4 0.3774 0.0635 0.3210  1 Si 1.61
Ti1 0.8968 0.2725 0.7836  6 O 1.91-1.98
H1 0.1914 0.4140 0.6675  1 O 1.00
O5 0.3054 0.8982 0.4539  2 Si 1.64-1.66
O6 0.2001 0.4827 0.6188  2 H 1.00
Si1 0.7191 0.2456 0.5214  4 O 1.61-1.66
O7 0.4372 0.3958 0.2483  1 Si 1.61
Si2 0.2191 0.2544 0.0214  4 O 1.61-1.66
Si3 0.2809 0.7544 0.4786  4 O 1.61-1.66
H2 0.6721 0.4701 0.3416  1 O 1.00
Si4 0.6929 0.5198 0.8485  4 O 1.61-1.64
O8 0.7001 0.0173 0.1188  2 H 1.00
Na1 0.3201 0.9443 0.0771  5 O 2.49-2.74
O9 0.8054 0.6018 0.9539  2 Si 1.64-1.66
Na2 0.8201 0.5557 0.5771  5 O 2.49-2.74
O10 0.7999 0.5173 0.3812  2 H 1.00
O11 0.9882 0.9369 0.6141  2 Si 1.64-1.65
Ti2 0.1032 0.7275 0.2164  6 O 1.91-1.98
O12 0.3072 0.8022 0.7306  1 Si 1.62, 1 H 1.81
O13 0.0118 0.0631 0.3859  2 Si 1.64-1.65
H3 0.1721 0.0299 0.8416  1 O 1.00
O14 0.9285 0.2626 0.4672  2 Si 1.65-1.66
O15 0.9372 0.1042 0.7483  1 Si 1.61
O16 0.6946 0.1018 0.5461  2 Si 1.64-1.66
H4 0.3086 0.9140 0.8325  1 O 1.00
O17 0.7772 0.3181 0.6340  1 Si 1.61
O18 0.8072 0.6978 0.2306  1 Si 1.62, 1 H 1.81
H5 0.8086 0.5860 0.3325  1 O 1.00
O19 0.8774 0.4365 0.8210  1 Si 1.61
H6 0.3279 0.5299 0.6584  1 O 1.00
O20 0.5715 0.7626 0.0328  2 Si 1.65-1.66
O21 0.7228 0.8181 0.8660  1 Si 1.61
Si5 0.0675 0.7995 0.6496  4 O 1.61-1.65
Ti3 0.3968 0.2275 0.2836  6 O 1.91-1.98
O22 0.1041 0.2698 0.2987  1 Si 1.61
O23 0.0628 0.8958 0.2517  1 Si 1.61
Si6 0.3071 0.4802 0.1515  4 O 1.61-1.64
Si7 0.1929 0.9802 0.3485  4 O 1.61-1.64
O24 0.6041 0.2302 0.7987  1 Si 1.61
O25 0.2228 0.6819 0.3660  1 Si 1.61
O26 0.1928 0.3022 0.7694  1 Si 1.62, 1 H 1.81
O27 0.2999 0.9827 0.8812  2 H 1.00
O28 0.5118 0.4369 0.8859  2 Si 1.64-1.65
Si8 0.9325 0.2005 0.3504  4 O 1.61-1.65
Si9 0.8071 0.0198 0.6515  4 O 1.61-1.64
O29 0.9982 0.2172 0.9353  1 Si 1.61
Si10 0.7809 0.7456 0.9786  4 O 1.61-1.66
Si11 0.4325 0.2995 0.8504  4 O 1.61-1.65
Na3 0.6799 0.0557 0.9229  5 O 2.49-2.74
O30 0.5018 0.7172 0.5647  1 Si 1.61
O31 0.5628 0.6042 0.7517  1 Si 1.61
K2 0.2063 0.6161 0.8816  7 O 2.79-3.12
O32 0.1946 0.3982 0.0461  2 Si 1.64-1.66
K3 0.7063 0.8839 0.3816  7 O 2.79-3.12
O33 0.2772 0.1819 0.1340  1 Si 1.61
O34 0.6928 0.1978 0.2694  1 Si 1.62, 1 H 1.81
O35 0.3959 0.7698 0.2013  1 Si 1.61
O36 0.6226 0.9365 0.6790  1 Si 1.61
Na4 0.1799 0.4443 0.4229  5 O 2.49-2.74
Ti4 0.6032 0.7725 0.7164  6 O 1.91-1.98
O37 0.4982 0.2828 0.4353  1 Si 1.61
O38 0.1226 0.5635 0.1790  1 Si 1.61
K4 0.2937 0.1161 0.6184  7 O 2.79-3.12
O39 0.0715 0.7374 0.5328  2 Si 1.65-1.66
Si12 0.5675 0.7005 0.1496  4 O 1.61-1.65
H7 0.6914 0.0860 0.1675  1 O 1.00
H8 0.8279 0.9701 0.1584  1 O 1.00
O40 0.0018 0.7828 0.0647  1 Si 1.61

Results
For the energy, the calculation gives -7.287 eV per atom. For the volume, the calculation gives 12.30 Å³/atom.

No. 6
An optimized crystal structure of KNaReH9. Source: the Alexandria database, functional GGA-PBEsol.

abc: 5.2977 8.8724 9.7930
angles: 90.00 90.00 90.00
With the nearest neighbours (Å) after each atom.
Sites, in units of the cell vectors:
H1 0.0199 0.6826 0.9769  1 Re 1.70, 1 H 1.90
H2 0.4801 0.1826 0.5231  1 Re 1.70, 1 H 1.90
Na1 0.2500 0.1381 0.9226  8 H 2.31-2.40
H3 0.7500 0.9170 0.3583  1 Re 1.68
K1 0.2500 0.5273 0.1767  14 H 2.68-2.85
H4 0.5245 0.5946 0.3986  1 Re 1.70
H5 0.4801 0.6826 0.9769  1 Re 1.70, 1 H 1.90
H6 0.2500 0.8827 0.7476  1 Re 1.67
H7 0.4755 0.9054 0.8986  1 Re 1.70
H8 0.4812 0.2220 0.7275  1 Re 1.70, 1 H 1.90
H9 0.5199 0.3174 0.0231  1 Re 1.70, 1 H 1.90
H10 0.2500 0.3827 0.7524  1 Re 1.67
H11 0.9755 0.0946 0.1014  1 Re 1.70
H12 0.5199 0.8174 0.4769  1 Re 1.70, 1 H 1.90
H13 0.4755 0.4054 0.6014  1 Re 1.70
Na2 0.2500 0.6381 0.5774  8 H 2.31-2.40
H14 0.0245 0.9054 0.8986  1 Re 1.70
H15 0.0188 0.7220 0.7725  1 Re 1.70, 1 H 1.90
Na3 0.7500 0.8619 0.0774  8 H 2.31-2.40
H16 0.7500 0.6173 0.2476  1 Re 1.67
H17 0.2500 0.0830 0.6417  1 Re 1.68
H18 0.7500 0.1636 0.9542  1 Re 1.69
K2 0.2500 0.0273 0.3233  14 H 2.68-2.85
H19 0.5188 0.7780 0.2725  1 Re 1.70, 1 H 1.90
Re1 0.7500 0.2303 0.1156  9 H 1.67-1.70
K3 0.7500 0.4727 0.8233  14 H 2.68-2.85
H20 0.0245 0.4054 0.6014  1 Re 1.70
H21 0.5245 0.0946 0.1014  1 Re 1.70
H22 0.7500 0.4170 0.1417  1 Re 1.68
H23 0.9812 0.7780 0.2725  1 Re 1.70, 1 H 1.90
Re2 0.2500 0.2697 0.6156  9 H 1.67-1.70
H24 0.0199 0.1826 0.5231  1 Re 1.70, 1 H 1.90
H25 0.9801 0.3174 0.0231  1 Re 1.70, 1 H 1.90
H26 0.9755 0.5946 0.3986  1 Re 1.70
H27 0.5188 0.2780 0.2275  1 Re 1.70, 1 H 1.90
H28 0.4812 0.7220 0.7725  1 Re 1.70, 1 H 1.90
H29 0.2500 0.3364 0.4542  1 Re 1.69
K4 0.7500 0.9727 0.6767  14 H 2.68-2.85
H30 0.2500 0.5830 0.8583  1 Re 1.68
H31 0.7500 0.6636 0.5458  1 Re 1.69
H32 0.0188 0.2220 0.7275  1 Re 1.70, 1 H 1.90
H33 0.2500 0.8364 0.0458  1 Re 1.69
H34 0.9812 0.2780 0.2275  1 Re 1.70, 1 H 1.90
Na4 0.7500 0.3619 0.4226  8 H 2.31-2.40
Re3 0.7500 0.7303 0.3844  9 H 1.67-1.70
H35 0.7500 0.1173 0.2524  1 Re 1.67
H36 0.9801 0.8174 0.4769  1 Re 1.70, 1 H 1.90
Re4 0.2500 0.7697 0.8844  9 H 1.67-1.70

Results
For the energy, the calculation gives -4.073 eV per atom. For the volume, the calculation gives 9.59 Å³/atom.

No. 7
An optimized crystal structure of K6Na15Tl18H. Source: the Alexandria database, functional GGA-PBEsol.

abc: 10.5621 10.5621 10.5621
angles: 90.00 90.00 90.00
With the nearest neighbours (Å) after each atom.
Sites, in units of the cell vectors:
Na1 0.7200 0.7200 0.2800  6 Tl 3.25-3.29
Tl1 0.0000 0.2538 0.8447  4 Na 3.14-3.25, 5 Tl 3.28-3.31
Tl2 0.8447 0.0000 0.7462  4 Na 3.14-3.25, 5 Tl 3.28-3.31
Tl3 0.8447 0.0000 0.2538  4 Na 3.14-3.25, 5 Tl 3.28-3.31
Tl4 0.0000 0.7462 0.8447  4 Na 3.14-3.25, 5 Tl 3.28-3.31
Tl5 0.5000 0.5000 0.2741  1 H 2.39
Na2 0.0000 0.0000 0.0000  12 Tl 3.14
Tl6 0.1553 0.0000 0.7462  4 Na 3.14-3.25, 5 Tl 3.28-3.31
Tl7 0.5000 0.5000 0.7259  1 H 2.39
K1 0.5000 0.0000 0.1867  6 Tl 3.65-3.71, 8 Na 3.77-3.99, 1 K 3.94
K2 0.8133 0.5000 0.0000  6 Tl 3.65-3.71, 8 Na 3.77-3.99, 1 K 3.94
Tl8 0.7259 0.5000 0.5000  1 H 2.39
Na3 0.2800 0.2800 0.2800  6 Tl 3.25-3.29
Na4 0.2800 0.7200 0.2800  6 Tl 3.25-3.29
K3 0.5000 0.0000 0.8133  6 Tl 3.65-3.71, 8 Na 3.77-3.99, 1 K 3.94
Na5 0.5000 0.6715 0.0000  4 Tl 3.18-3.41
Tl9 0.2538 0.8447 0.0000  4 Na 3.14-3.25, 5 Tl 3.28-3.31
Tl10 0.0000 0.2538 0.1553  4 Na 3.14-3.25, 5 Tl 3.28-3.31
Na6 0.2800 0.7200 0.7200  6 Tl 3.25-3.29
Na7 0.6715 0.0000 0.5000  4 Tl 3.18-3.41
K4 0.0000 0.1867 0.5000  6 Tl 3.65-3.71, 8 Na 3.77-3.99, 1 K 3.94
Tl11 0.0000 0.7462 0.1553  4 Na 3.14-3.25, 5 Tl 3.28-3.31
Na8 0.5000 0.3285 0.0000  4 Tl 3.18-3.41
Tl12 0.2538 0.1553 0.0000  4 Na 3.14-3.25, 5 Tl 3.28-3.31
Na9 0.0000 0.5000 0.3285  4 Tl 3.18-3.41
Na10 0.7200 0.7200 0.7200  6 Tl 3.25-3.29
Tl13 0.7462 0.1553 0.0000  4 Na 3.14-3.25, 5 Tl 3.28-3.31
Tl14 0.2741 0.5000 0.5000  1 H 2.39
Na11 0.2800 0.2800 0.7200  6 Tl 3.25-3.29
Tl15 0.5000 0.7259 0.5000  1 H 2.39
K5 0.1867 0.5000 0.0000  6 Tl 3.65-3.71, 8 Na 3.77-3.99, 1 K 3.94
Tl16 0.5000 0.2741 0.5000  1 H 2.39
Na12 0.7200 0.2800 0.2800  6 Tl 3.25-3.29
Tl17 0.1553 0.0000 0.2538  4 Na 3.14-3.25, 5 Tl 3.28-3.31
Tl18 0.7462 0.8447 0.0000  4 Na 3.14-3.25, 5 Tl 3.28-3.31
K6 0.0000 0.8133 0.5000  6 Tl 3.65-3.71, 8 Na 3.77-3.99, 1 K 3.94
Na13 0.0000 0.5000 0.6715  4 Tl 3.18-3.41
Na14 0.3285 0.0000 0.5000  4 Tl 3.18-3.41
H1 0.5000 0.5000 0.5000  6 Tl 2.39
Na15 0.7200 0.2800 0.7200  6 Tl 3.25-3.29

Results
For the energy, the calculation gives -2.082 eV per atom. For the volume, the calculation gives 29.46 Å³/atom.

> What is the formula in the first record?

K3NaH